Here is Sm2AlBi after structural relaxation from the Alexandria database. Energies are from PBE.

Output
Energy relative to the elements: -420 meV per atom
Total magnetization: 0.00 μB/cell
Crystal system: trigonal
Energy: -18.7 eV/f.u.

a = 8.153 Å, b = 8.153 Å, c = 8.153 Å
α = 30.67°, β = 30.67°, γ = 30.67°
Atoms (fractional coordinates):
Sm 0.250 0.250 0.250
Sm 0.750 0.750 0.750
Al 0.500 0.500 0.500
Bi 0.000 0.000 0.000